# 1
This record from the Alexandria database describes a relaxed structure of Li2Ca3In3. The functional is PBE-GGA.

Summary:
Energy of formation = -0.3182 eV/atom
Calculated volume = 870.4 Å³/cell
Total energy = -2.574 eV per atom
Density = 3.7 Mg/m³
Density of states at the Fermi level = 19.3 states/eV/cell

Cell: 8.084 17.135 6.284 Å, 90.00 90.00 90.00°
Space group Pnma (No. 62)
Symmetry-distinct sites (fractional):
Li: 0.128 0.111 0.127 [8 per cell]
Ca: 0.024 0.608 0.367 [8 per cell]
Ca: 0.172 0.750 0.892 [4 per cell]
In: 0.175 0.535 0.914 [8 per cell]
In: 0.194 0.250 0.884 [4 per cell]

# 2
This record from the Alexandria database describes a relaxed structure of LiCaIn. The functional is PBE-GGA.

Summary:
Energy of formation = 0.1928 eV/atom
Calculated volume = 401.6 Å³/cell
Total energy = -2.025 eV per atom
Density = 2.7 Mg/m³
Density of states at the Fermi level = 12.5 states/eV/cell

Cell: 7.378 7.378 7.378 Å, 90.00 90.00 90.00°
Space group F-43m (No. 216)
Symmetry-distinct sites (fractional):
Li: 0.000 0.000 0.000 [4 per cell]
Ca: 0.250 0.250 0.750 [4 per cell]
In: 0.000 0.000 0.500 [4 per cell]

# 3
This record from the Alexandria database describes a relaxed structure of LiCa4In3. The functional is PBE-GGA.

Summary:
Energy of formation = -0.3909 eV/atom
Calculated volume = 691.8 Å³/cell
Total energy = -2.658 eV per atom
Density = 3.7 Mg/m³
Density of states at the Fermi level = 12.4 states/eV/cell

Cell: 5.4644 5.4644 26.7520 Å, 90.00 90.00 120.00°
Space group R-3m (No. 166, hexagonal axes)
Symmetry-distinct sites (fractional):
Li: 0.0000 0.0000 0.0000 [3 per cell]
Ca: 0.0000 0.0000 0.1261 [6 per cell]
Ca: 0.0000 0.0000 0.3764 [6 per cell]
In: 0.0000 0.0000 0.2533 [6 per cell]
In: 0.0000 0.0000 0.5000 [3 per cell]

# 4
This record from the Alexandria database describes a relaxed structure of Li2Ca2In3. The functional is PBE-GGA.

Summary:
Energy of formation = -0.3364 eV/atom
E above lowest polymorph = 0.0 meV/atom
Calculated volume = 346.7 Å³/cell
Total energy = -2.629 eV per atom
Density = 4.2 Mg/m³
Density of states at the Fermi level = 3.3 states/eV/cell

Cell: 3.431 29.900 3.380 Å, 90.00 90.00 90.00°
Space group Cmmm (No. 65)
Symmetry-distinct sites (fractional):
Li: 0.000 0.212 0.000 [4 per cell]
Ca: 0.000 0.078 0.000 [4 per cell]
In: 0.000 0.342 0.500 [4 per cell]
In: 0.000 0.500 0.500 [2 per cell]

# 5
This record from the Alexandria database describes a relaxed structure of LiCa2In. The functional is PBE-GGA.

Summary:
Energy of formation = -0.2176 eV/atom
Calculated volume = 431.0 Å³/cell
Total energy = -2.381 eV per atom
Density = 3.1 Mg/m³
Density of states at the Fermi level = 3.8 states/eV/cell

Cell: 7.523 7.539 7.600 Å, 90.00 90.00 90.00°
Space group F222 (No. 22)
Symmetry-distinct sites (fractional):
Li: 0.000 0.000 0.000 [4 per cell]
Ca: 0.000 0.000 0.500 [4 per cell]
Ca: 0.250 0.250 0.750 [4 per cell]
In: 0.250 0.250 0.250 [4 per cell]

# 6
This record from the Alexandria database describes a relaxed structure of Li2CaIn4. The functional is PBE-GGA.

Summary:
Energy of formation = -0.3187 eV/atom
Calculated volume = 330.8 Å³/cell
Total energy = -2.716 eV per atom
Density = 5.2 Mg/m³
Density of states at the Fermi level = 5.7 states/eV/cell

Cell: 7.674 7.674 5.618 Å, 90.00 90.00 90.00°
Space group I4/mmm (No. 139)
Symmetry-distinct sites (fractional):
Li: 0.000 0.500 0.250 [4 per cell]
Ca: 0.000 0.000 0.000 [2 per cell]
In: 0.195 0.195 0.500 [8 per cell]

# 7
This record from the Alexandria database describes a relaxed structure of Li6CaIn2. The functional is PBE-GGA.

Summary:
Energy of formation = -0.1567 eV/atom
Calculated volume = 391.6 Å³/cell
Total energy = -2.264 eV per atom
Density = 2.6 Mg/m³
Density of states at the Fermi level = 11.2 states/eV/cell

Cell: 4.889 6.054 13.231 Å, 90.00 90.00 90.00°
Space group Immm (No. 71)
Symmetry-distinct sites (fractional):
Li: 0.000 0.194 0.000 [4 per cell]
Li: 0.000 0.243 0.202 [8 per cell]
Ca: 0.000 0.000 0.500 [2 per cell]
In: 0.000 0.500 0.386 [4 per cell]

# 8
This record from the Alexandria database describes a relaxed structure of Li5Ca6In. The functional is PBE-GGA.

Summary:
Energy of formation = -0.0865 eV/atom
Calculated volume = 364.2 Å³/cell
Total energy = -2.113 eV per atom
Density = 1.8 Mg/m³
Density of states at the Fermi level = 9.5 states/eV/cell

Cell: 5.549 7.851 8.795 Å, 90.00 108.12 90.00°
Space group P2/m (No. 10)
Symmetry-distinct sites (fractional):
Li: 0.000 0.000 0.000 [1 per cell]
Li: 0.332 0.000 0.663 [2 per cell]
Li: 0.336 0.500 0.671 [2 per cell]
Ca: 0.164 0.255 0.329 [4 per cell]
Ca: 0.500 0.257 0.000 [2 per cell]
In: 0.000 0.500 0.000 [1 per cell]

# 9
This record from the Alexandria database describes a relaxed structure of LiCa2In. The functional is PBE-GGA.

Summary:
Energy of formation = -0.1062 eV/atom
Calculated volume = 388.0 Å³/cell
Total energy = -2.270 eV per atom
Density = 2.6 Mg/m³
Density of states at the Fermi level = 6.6 states/eV/cell

Cell: 3.7433 3.7433 31.9738 Å, 90.00 90.00 120.00°
Space group R-3m (No. 166, hexagonal axes)
Symmetry-distinct sites (fractional):
Li: 0.0000 0.0000 0.0000 [3 per cell]
Ca: 0.0000 0.0000 0.2455 [6 per cell]
In: 0.0000 0.0000 0.5000 [3 per cell]

# 10
This record from the Alexandria database describes a relaxed structure of LiCaIn. The functional is PBE-GGA.

Summary:
Energy of formation = -0.0850 eV/atom
Calculated volume = 335.5 Å³/cell
Total energy = -2.303 eV per atom
Density = 3.2 Mg/m³
Density of states at the Fermi level = 12.0 states/eV/cell

Cell: 6.948 6.948 6.948 Å, 90.00 90.00 90.00°
Space group F-43m (No. 216)
Symmetry-distinct sites (fractional):
Li: 0.000 0.000 0.000 [4 per cell]
Ca: 0.250 0.250 0.250 [4 per cell]
In: 0.250 0.250 0.750 [4 per cell]

# 11
This record from the Alexandria database describes a relaxed structure of Li4Ca5In. The functional is PBE-GGA.

Summary:
Energy of formation = -0.0886 eV/atom
Calculated volume = 305.8 Å³/cell
Total energy = -2.129 eV per atom
Density = 1.9 Mg/m³
Density of states at the Fermi level = 9.1 states/eV/cell

Cell: 3.954 3.954 19.558 Å, 90.00 90.00 90.00°
Space group P4/mmm (No. 123)
Symmetry-distinct sites (fractional):
Li: 0.000 0.000 0.101 [2 per cell]
Li: 0.000 0.000 0.305 [2 per cell]
Ca: 0.500 0.500 0.000 [1 per cell]
Ca: 0.500 0.500 0.202 [2 per cell]
Ca: 0.500 0.500 0.406 [2 per cell]
In: 0.000 0.000 0.500 [1 per cell]

# 12
This record from the Alexandria database describes a relaxed structure of Li2CaIn6. The functional is PBE-GGA.

Summary:
Energy of formation = -0.2192 eV/atom
Calculated volume = 449.6 Å³/cell
Total energy = -2.693 eV per atom
Density = 5.5 Mg/m³
Density of states at the Fermi level = 6.1 states/eV/cell

Cell: 3.652 8.405 14.646 Å, 90.00 90.00 90.00°
Space group Immm (No. 71)
Symmetry-distinct sites (fractional):
Li: 0.000 0.000 0.135 [4 per cell]
Ca: 0.000 0.500 0.000 [2 per cell]
In: 0.000 0.176 0.319 [8 per cell]
In: 0.000 0.328 0.500 [4 per cell]

> The highest density of states at the Fermi level belongs to which entry?

Li2Ca3In3